[1]
The following is a DFT calculation (PBE) of a relaxed DyFe2Si2 crystal.

The value obtained for the formation energy without anion corrections is -680 meV per atom. The calculation puts the raw total energy at -7.154 eV per atom.

Cell: 5.5189 5.5189 5.5189 Å, 138.01 138.01 60.89°
With the nearest neighbours (Å) after each atom.
Fractional positions:
Dy 0.0000 0.0000 0.0000  8 Si 3.07, 8 Fe 3.09
Fe 0.2500 0.7500 0.5000  4 Si 2.27
Fe 0.7500 0.2500 0.5000  4 Si 2.27
Si 0.3663 0.3663 0.0000  4 Fe 2.27
Si 0.6337 0.6337 0.0000  4 Fe 2.27

=====

[2]
The following is a DFT calculation (PBE) of a relaxed Dy3Fe2Si7 crystal.

The value obtained for the formation energy without anion corrections is -621 meV per atom. The calculation puts the raw total energy at -6.346 eV per atom.

Cell: 12.3337 12.3337 4.0929 Å, 90.00 90.00 161.17°
With the nearest neighbours (Å) after each atom.
Fractional positions:
Dy 0.0000 0.0000 0.0000  12 Si 2.87-2.98, 2 Fe 3.09
Dy 0.3153 0.6847 0.5000  10 Si 3.00-3.11, 4 Fe 3.20
Dy 0.6847 0.3153 0.5000  10 Si 3.00-3.11, 4 Fe 3.20
Fe 0.1268 0.8732 0.0000  5 Si 2.22-2.28
Fe 0.8732 0.1268 0.0000  5 Si 2.22-2.28
Si 0.0890 0.9110 0.5000  2 Fe 2.24
Si 0.2203 0.7797 0.0000  1 Fe 2.28, 2 Si 2.48
Si 0.4116 0.5884 0.0000  2 Fe 2.22
Si 0.5000 0.5000 0.5000  4 Dy 2.87, 8 Si 2.96-2.97
Si 0.5884 0.4116 0.0000  2 Fe 2.22
Si 0.7797 0.2203 0.0000  1 Fe 2.28, 2 Si 2.48
Si 0.9110 0.0890 0.5000  2 Fe 2.24

=====

Question: Which value of raw total energy does entry 2 give?
Answer: -6.346 eV per atom